Density functional theory data (PBE) for an optimized crystal structure of Li11TiSb5.

* crystal system: monoclinic
* electronic total energy: -3.486 eV/atom
* E_form (uncorrected): -570.4 meV/atom

a = 15.220 Å, b = 4.570 Å, c = 11.337 Å
α = 90.00°, β = 117.97°, γ = 90.00°
Space group Cm (No. 8)
Unique sites:
Li 0.000 0.000 0.000 x2
Li 0.000 0.000 0.493 x2
Li 0.098 0.500 0.858 x2
Li 0.187 0.000 0.763 x2
Li 0.195 0.000 0.010 x2
Li 0.217 0.000 0.284 x2
Li 0.292 0.500 0.672 x2
Li 0.320 0.500 0.185 x2
Li 0.404 0.000 0.830 x2
Li 0.405 0.000 0.080 x2
Li 0.409 0.000 0.580 x2
Ti 0.101 0.500 0.370 x2
Sb 0.111 0.500 0.138 x2
Sb 0.193 0.000 0.511 x2
Sb 0.297 0.500 0.924 x2
Sb 0.416 0.000 0.331 x2
Sb 0.493 0.500 0.743 x2

=====

Density functional theory data (PBE) for an optimized crystal structure of Y2ZrIr.

* crystal system: tetragonal
* electronic total energy: -7.946 eV/atom
* polymorph energy (0 for the lowest one): 74 meV/atom

a = 3.449 Å, b = 3.449 Å, c = 8.308 Å
α = 90.00°, β = 90.00°, γ = 90.00°
Space group P4mm (No. 99)
Unique sites:
Y 0.000 0.000 0.000 x1
Y 0.500 0.500 0.341 x1
Zr 0.000 0.000 0.616 x1
Ir 0.500 0.500 0.787 x1

=====

Density functional theory data (PBE) for an optimized crystal structure of Ho6Cu2Pt.

* crystal system: orthorhombic
* electronic total energy: -5.034 eV/atom

a = 9.498 Å, b = 9.563 Å, c = 9.609 Å
α = 90.00°, β = 90.00°, γ = 90.00°
Space group Immm (No. 71)
Unique sites:
Ho 0.000 0.202 0.173 x8
Ho 0.176 0.237 0.500 x8
Ho 0.185 0.500 0.245 x8
Cu 0.000 0.000 0.379 x4
Cu 0.145 0.000 0.000 x4
Pt 0.000 0.500 0.000 x2
Pt 0.000 0.500 0.500 x2

=====

Density functional theory data (PBE) for an optimized crystal structure of CsYSi.

* crystal system: orthorhombic
* electronic total energy: -4.146 eV/atom
* polymorph energy (0 for the lowest one): 227 meV/atom
* E_form (uncorrected): 101.2 meV/atom

a = 8.468 Å, b = 5.045 Å, c = 12.718 Å
α = 90.00°, β = 90.00°, γ = 90.00°
Space group Pnma (No. 62)
Unique sites:
Cs 0.106 0.250 0.118 x4
Y 0.026 0.750 0.401 x4
Si 0.172 0.250 0.421 x4

=====

Density functional theory data (PBE) for an optimized crystal structure of LaDy5N6.

* crystal system: monoclinic
* electronic total energy: -8.103 eV/atom
* E_form (uncorrected): -1611.9 meV/atom

a = 6.104 Å, b = 10.573 Å, c = 6.097 Å
α = 90.00°, β = 109.48°, γ = 90.00°
Space group C2/m (No. 12)
Unique sites:
La 0.000 0.000 0.000 x2
Dy 0.000 0.169 0.500 x4
Dy 0.000 0.334 0.000 x4
Dy 0.000 0.500 0.500 x2
N 0.241 0.500 0.254 x4
N 0.243 0.328 0.745 x8

=====

Density functional theory data (PBE) for an optimized crystal structure of RbCd6Hg6.

* crystal system: orthorhombic
* electronic total energy: -0.690 eV/atom

a = 6.159 Å, b = 10.491 Å, c = 10.677 Å
α = 90.00°, β = 90.00°, γ = 90.00°
Space group Immm (No. 71)
Unique sites:
Rb 0.000 0.000 0.000 x2
Cd 0.000 0.256 0.500 x4
Cd 0.250 0.250 0.250 x8
Hg 0.000 0.000 0.344 x4
Hg 0.000 0.354 0.000 x4
Hg 0.000 0.500 0.313 x4

=====

Density functional theory data (PBE) for an optimized crystal structure of Ca2TlHg2.

* crystal system: tetragonal
* electronic total energy: -1.646 eV/atom
* polymorph energy (0 for the lowest one): 183 meV/atom

a = 5.892 Å, b = 5.892 Å, c = 9.235 Å
α = 90.00°, β = 90.00°, γ = 90.00°
Space group I4/mmm (No. 139)
Unique sites:
Ca 0.000 0.500 0.250 x4
Tl 0.000 0.000 0.000 x2
Hg 0.000 0.000 0.351 x4

=====

Density functional theory data (PBE) for an optimized crystal structure of Ca2BiPd3.

* crystal system: orthorhombic
* electronic total energy: -4.346 eV/atom
* polymorph energy (0 for the lowest one): 217 meV/atom

a = 4.935 Å, b = 5.684 Å, c = 9.956 Å
α = 90.00°, β = 90.00°, γ = 90.00°
Space group Immm (No. 71)
Unique sites:
Ca 0.000 0.000 0.178 x4
Bi 0.000 0.000 0.500 x2
Pd 0.000 0.500 0.142 x4
Pd 0.000 0.500 0.500 x2

=====

> Which formula does entry 4 have?

CsYSi

=====

> Which value of electronic total energy does entry 5 give?

-8.103 eV/atom